(1)
# NaHf4N4Cl4 | Alexandria | meta-GGA SCAN | PBEsol geometry
data_NaHf4N4Cl4
_cell_length_a 6.211
_cell_length_b 3.608
_cell_length_c 10.202
_cell_angle_alpha 90.00
_cell_angle_beta 102.05
_cell_angle_gamma 90.00
_symmetry_space_group_name_H-M 'P 1 2/m 1'
_symmetry_Int_Tables_number 10
_symmetry_space_group_name_Hall '-P 2y'
loop_
_atom_site_label
_atom_site_type_symbol
_atom_site_fract_x
_atom_site_fract_y
_atom_site_fract_z
_atom_site_occupancy
Na1 Na 0.000 0.000 0.000 1
Hf1 Hf 0.210 0.000 0.619 1
Hf2 Hf 0.293 0.500 0.377 1
N1 N 0.133 0.000 0.408 1
N2 N 0.361 0.500 0.589 1
Cl1 Cl 0.107 0.500 0.819 1
Cl2 Cl 0.394 0.000 0.188 1
# Final energy ... -26.937 eV/atom

=====

(2)
# Ta3BiI | Alexandria | meta-GGA SCAN | PBEsol geometry
data_Ta3BiI
_cell_length_a 5.162
_cell_length_b 5.162
_cell_length_c 5.162
_cell_angle_alpha 90.00
_cell_angle_beta 90.00
_cell_angle_gamma 90.00
_symmetry_space_group_name_H-M 'P m -3 m'
_symmetry_Int_Tables_number 221
_symmetry_space_group_name_Hall '-P 4 2 3'
loop_
_atom_site_label
_atom_site_type_symbol
_atom_site_fract_x
_atom_site_fract_y
_atom_site_fract_z
_atom_site_occupancy
Ta1 Ta 0.000 0.000 0.500 1
Bi1 Bi 0.000 0.000 0.000 1
I1 I 0.500 0.500 0.500 1
# Final energy ... -60.448 eV/atom

=====

(3)
# TbH2 | Alexandria | meta-GGA SCAN | PBEsol geometry
data_TbH2
_cell_length_a 5.158
_cell_length_b 5.158
_cell_length_c 5.158
_cell_angle_alpha 90.00
_cell_angle_beta 90.00
_cell_angle_gamma 90.00
_symmetry_space_group_name_H-M 'F m -3 m'
_symmetry_Int_Tables_number 225
_symmetry_space_group_name_Hall '-F 4 2 3'
loop_
_atom_site_label
_atom_site_type_symbol
_atom_site_fract_x
_atom_site_fract_y
_atom_site_fract_z
_atom_site_occupancy
Tb1 Tb 0.000 0.000 0.000 1
H1 H 0.250 0.250 0.250 1
# Final energy ... -18.679 eV/atom